Record 1
Compound: Tm3ScS3
Source: Alexandria via LeMat-Bulk
Functional: PBE-GGA
Structure: optimized geometry

a b c (Å): 7.4694 7.4694 5.3951
angles (deg): 90.00 90.00 92.20
Element x y z (fractional)
Tm 0.1217 0.8783 0.7500
Tm 0.1448 0.3874 0.7500
Tm 0.3874 0.1448 0.2500
Tm 0.6126 0.8552 0.7500
Tm 0.8552 0.6126 0.2500
Tm 0.8783 0.1217 0.2500
Sc 0.3698 0.6302 0.2500
Sc 0.6302 0.3698 0.7500
S 0.1268 0.8732 0.2500
S 0.1280 0.3838 0.2500
S 0.3838 0.1280 0.7500
S 0.6162 0.8720 0.2500
S 0.8720 0.6162 0.7500
S 0.8732 0.1268 0.7500

SG   Cmcm
Crystal system   orthorhombic
ρ   7.2 g cm⁻³
Total DFT energy (no corrections)   -6.2109 eV per atom
M_tot   0.00 Bohr magnetons per cell

Record 2
Compound: InFeSb2
Source: Alexandria via LeMat-Bulk
Functional: PBE-GGA
Structure: optimized geometry

a b c (Å): 9.4056 9.4056 9.4056
angles (deg): 20.69 20.69 20.69
Element x y z (fractional)
In 0.0000 0.0000 0.0000
Fe 0.7375 0.7375 0.7375
Sb 0.2367 0.2367 0.2367
Sb 0.4652 0.4652 0.4652

SG   R3m
Crystal system   trigonal
ρ   7.6 g cm⁻³
Total DFT energy (no corrections)   -4.5865 eV per atom
M_tot   1.66 Bohr magnetons per cell

Record 3
Compound: TlSnMo3
Source: Alexandria via LeMat-Bulk
Functional: PBE-GGA
Structure: optimized geometry

a b c (Å): 4.9348 4.9348 4.9348
angles (deg): 90.00 90.00 90.00
Element x y z (fractional)
Tl 0.0000 0.0000 0.0000
Sn 0.5000 0.5000 0.5000
Mo 0.0000 0.5000 0.5000
Mo 0.5000 0.0000 0.5000
Mo 0.5000 0.5000 0.0000

SG   Pm-3m
Crystal system   cubic
ρ   8.4 g cm⁻³
DFT formation energy   2050 meV/atom
M_tot   0.00 Bohr magnetons per cell

Record 4
Compound: LiMn2GeN4
Source: Alexandria via LeMat-Bulk
Functional: PBE-GGA
Structure: optimized geometry

a b c (Å): 6.5014 5.4074 4.9785
angles (deg): 90.00 90.00 90.00
Element x y z (fractional)
Li 0.0000 0.1695 0.0000
Li 0.5000 0.8305 0.5000
Mn 0.2453 0.3401 0.5024
Mn 0.2547 0.6599 0.0024
Mn 0.7453 0.6599 0.0024
Mn 0.7547 0.3401 0.5024
Ge 0.0000 0.8305 0.5132
Ge 0.5000 0.1695 0.0132
N 0.0000 0.1714 0.4262
N 0.0000 0.7873 0.8924
N 0.2322 0.6667 0.3737
N 0.2678 0.3333 0.8737
N 0.5000 0.2127 0.3924
N 0.5000 0.8286 0.9262
N 0.7322 0.3333 0.8737
N 0.7678 0.6667 0.3737

SG   Pmn2_1
Crystal system   orthorhombic
ρ   4.7 g cm⁻³
Total DFT energy (no corrections)   -7.4251 eV per atom
M_tot   8.11 Bohr magnetons per cell

Record 5
Compound: La2Nd5DySc
Source: Alexandria via LeMat-Bulk
Functional: PBE-GGA
Structure: optimized geometry

a b c (Å): 11.4296 11.4296 10.2292
angles (deg): 90.00 90.00 152.20
Element x y z (fractional)
La 0.1165 0.8835 0.5051
La 0.1165 0.8835 0.9949
La 0.8835 0.1165 0.0051
La 0.8835 0.1165 0.4949
Nd 0.0008 0.9992 0.2500
Nd 0.2760 0.7240 0.5632
Nd 0.2760 0.7240 0.9368
Nd 0.3720 0.6280 0.2500
Nd 0.5000 0.5000 0.0000
Nd 0.5000 0.5000 0.5000
Nd 0.6280 0.3720 0.7500
Nd 0.7240 0.2760 0.0632
Nd 0.7240 0.2760 0.4368
Nd 0.9992 0.0008 0.7500
Dy 0.3967 0.6033 0.7500
Dy 0.6033 0.3967 0.2500
Sc 0.2128 0.7872 0.2500
Sc 0.7872 0.2128 0.7500

SG   Cmcm
Crystal system   orthorhombic
ρ   6.4 g cm⁻³
DFT formation energy   111 meV/atom
M_tot   0.00 Bohr magnetons per cell

Record 6
Compound: La4InPb
Source: Alexandria via LeMat-Bulk
Functional: PBE-GGA
Structure: optimized geometry

a b c (Å): 3.4856 5.7528 9.3138
angles (deg): 90.00 90.00 90.00
Element x y z (fractional)
La 0.0000 0.0000 0.1640
La 0.0000 0.0000 0.8360
La 0.0000 0.5000 0.3267
La 0.0000 0.5000 0.6733
In 0.5000 0.5000 0.0000
Pb 0.5000 0.0000 0.5000

SG   Pmmm
Crystal system   orthorhombic
ρ   7.8 g cm⁻³
DFT formation energy   -347 meV/atom
M_tot   0.00 Bohr magnetons per cell

no.,volume (Å³ per cell)
1,300.78
2,90.95
3,120.17
4,175.02
5,623.30
6,186.76